[1]
The following is a DFT calculation (GGA-PBEsol) of Sm2MgS4 after structural relaxation.

- relative energy among the computed polymorphs (eV/f.u.) = 0.00
- M_tot (Bohr magnetons per cell) = 0.00

Unit cell a=8.143 b=8.143 c=8.530 alpha=90.00 beta=90.00 gamma=90.00
Space group I-42d (No. 122)
One atom of each set of equivalent atoms:
Sm1 0.127 0.250 0.125 x8
Mg1 0.000 0.000 0.500 x4
S1 0.071 0.192 0.805 x16

---

[2]
The following is a DFT calculation (GGA-PBEsol) of Sm2MgS4 after structural relaxation.

- relative energy among the computed polymorphs (eV/f.u.) = 0.28
- M_tot (Bohr magnetons per cell) = 0.00

Unit cell a=11.239 b=11.239 c=11.239 alpha=90.00 beta=90.00 gamma=90.00
Space group Fd-3m (No. 227, origin choice 2)
One atom of each set of equivalent atoms:
Sm1 0.000 0.000 0.000 x16
Mg1 0.125 0.125 0.625 x8
S1 0.003 0.003 0.247 x32

---

[3]
The following is a DFT calculation (GGA-PBEsol) of MgSnS3 after structural relaxation.

- M_tot (Bohr magnetons per cell) = 0.00

Unit cell a=4.759 b=4.759 c=4.759 alpha=90.00 beta=90.00 gamma=90.00
Space group Pm-3m (No. 221)
One atom of each set of equivalent atoms:
Mg1 0.000 0.000 0.000 x1
Sn1 0.500 0.500 0.500 x1
S1 0.000 0.000 0.500 x3

---

[4]
The following is a DFT calculation (GGA-PBEsol) of MgSnS2 after structural relaxation.

- M_tot (Bohr magnetons per cell) = 0.00

Unit cell a=3.7032 b=3.7032 c=22.7080 alpha=90.00 beta=90.00 gamma=120.00
Space group R-3m (No. 166, hexagonal axes)
One atom of each set of equivalent atoms:
Mg1 0.0000 0.0000 0.0000 x3
Sn1 0.0000 0.0000 0.5000 x3
S1 0.0000 0.0000 0.3915 x6

---

Uncorrected formation energy for every record listed, in sequence, given in kJ per mole of atoms: -181, -177, -10, -55.